# 1
ReW2C: relaxed, PBE.

a = 2.967 Å, b = 2.967 Å, c = 14.037 Å
α = 90.00°, β = 90.00°, γ = 120.00°
Fractional coordinates of all 8 atoms:
Re: 0.000 0.000 0.000
Re: 0.000 0.000 0.318
W: 0.000 0.000 0.652
W: 0.667 0.333 0.162
W: 0.667 0.333 0.475
W: 0.667 0.333 0.819
C: 0.333 0.667 0.564
C: 0.333 0.667 0.912

Properties
**Energy relative to the elements**: 0.20 eV per atom



# 2
KHg2SbAu: relaxed, PBE.

a = 5.446 Å, b = 5.446 Å, c = 5.627 Å
α = 90.00°, β = 90.00°, γ = 90.00°
Fractional coordinates of all 5 atoms:
K: 0.000 0.000 0.000
Hg: 0.000 0.500 0.500
Hg: 0.500 0.000 0.500
Sb: 0.500 0.500 0.000
Au: 0.500 0.500 0.500

Properties
**Uncorrected formation energy**: -43 meV per atom



# 3
Pr2Nd6DyMg: relaxed, PBE.

a = 9.408 Å, b = 9.408 Å, c = 8.946 Å
α = 90.98°, β = 90.98°, γ = 119.95°
Fractional coordinates of all 20 atoms:
Pr: 0.180 0.278 0.454
Pr: 0.278 0.180 0.954
Pr: 0.722 0.820 0.046
Pr: 0.820 0.722 0.546
Nd: 0.033 0.763 0.912
Nd: 0.036 0.453 0.698
Nd: 0.237 0.967 0.588
Nd: 0.299 0.623 0.049
Nd: 0.377 0.701 0.451
Nd: 0.453 0.036 0.198
Nd: 0.547 0.964 0.802
Nd: 0.623 0.299 0.549
Nd: 0.701 0.377 0.951
Nd: 0.763 0.033 0.412
Nd: 0.964 0.547 0.302
Nd: 0.967 0.237 0.088
Dy: 0.469 0.531 0.750
Dy: 0.531 0.469 0.250
Mg: 0.056 0.944 0.250
Mg: 0.944 0.056 0.750

Properties
**Energy relative to the elements**: 0.11 eV per atom



# 4
AgPPt: relaxed, PBE.

a = 5.468 Å, b = 6.750 Å, c = 7.110 Å
α = 90.00°, β = 115.10°, γ = 90.00°
Fractional coordinates of all 12 atoms:
Ag: 0.223 0.036 0.411
Ag: 0.223 0.464 0.911
Ag: 0.777 0.536 0.089
Ag: 0.777 0.964 0.589
P: 0.261 0.634 0.270
P: 0.261 0.866 0.770
P: 0.739 0.134 0.230
P: 0.739 0.366 0.730
Pt: 0.441 0.635 0.627
Pt: 0.441 0.865 0.127
Pt: 0.559 0.135 0.873
Pt: 0.559 0.365 0.373

Properties
**Energy relative to the elements**: -0.17 eV per atom



# 5
Sr2PuBe2O6: relaxed, PBE.

a = 5.583 Å, b = 5.583 Å, c = 5.998 Å
α = 90.00°, β = 90.00°, γ = 120.00°
Fractional coordinates of all 11 atoms:
Sr: 0.333 0.667 0.339
Sr: 0.667 0.333 0.661
Pu: 0.000 0.000 0.000
Be: 0.333 0.667 0.807
Be: 0.667 0.333 0.193
O: 0.101 0.737 0.780
O: 0.263 0.364 0.780
O: 0.364 0.101 0.220
O: 0.636 0.899 0.780
O: 0.737 0.636 0.220
O: 0.899 0.263 0.220

Properties
**Uncorrected formation energy**: -2683 meV per atom



# 6
ReTcCl2: relaxed, PBE.

a = 9.575 Å, b = 9.575 Å, c = 9.575 Å
α = 17.92°, β = 17.92°, γ = 17.92°
Fractional coordinates of all 4 atoms:
Re: 0.000 0.000 0.000
Tc: 0.740 0.740 0.740
Cl: 0.267 0.267 0.267
Cl: 0.471 0.471 0.471

Properties
**Uncorrected formation energy**: 74 meV per atom



# 7
ScInIr: relaxed, PBE.

a = 3.216 Å, b = 3.216 Å, c = 6.662 Å
α = 90.00°, β = 90.00°, γ = 120.00°
Fractional coordinates of all 3 atoms:
Sc: 0.000 0.000 0.000
In: 0.333 0.667 0.386
Ir: 0.667 0.333 0.715

Properties
**Energy relative to the elements**: -0.25 eV per atom



# 8
ThP2S6: relaxed, PBE.

a = 7.117 Å, b = 7.117 Å, c = 9.895 Å
α = 90.00°, β = 90.00°, γ = 90.00°
Fractional coordinates of all 18 atoms:
Th: 0.000 0.000 0.250
Th: 0.000 0.000 0.750
P: 0.059 0.350 0.000
P: 0.350 0.941 0.500
P: 0.650 0.059 0.500
P: 0.941 0.650 0.000
S: 0.173 0.823 0.000
S: 0.177 0.173 0.500
S: 0.209 0.321 0.172
S: 0.209 0.321 0.828
S: 0.321 0.791 0.328
S: 0.321 0.791 0.672
S: 0.679 0.209 0.328
S: 0.679 0.209 0.672
S: 0.791 0.679 0.172
S: 0.791 0.679 0.828
S: 0.823 0.827 0.500
S: 0.827 0.177 0.000

Properties
**Uncorrected formation energy**: -853 meV per atom



# 9
Ba2HgO2F2: relaxed, PBE.

a = 7.796 Å, b = 7.796 Å, c = 7.796 Å
α = 146.70°, β = 146.70°, γ = 47.81°
Fractional coordinates of all 7 atoms:
Ba: 0.126 0.126 0.000
Ba: 0.874 0.874 0.000
Hg: 0.500 0.500 0.000
O: 0.000 0.500 0.500
O: 0.500 0.000 0.500
F: 0.306 0.306 0.000
F: 0.694 0.694 0.000

Properties
**Uncorrected formation energy**: -2342 meV per atom



# 10
TbDy12Ni6: relaxed, PBE.

a = 8.516 Å, b = 8.516 Å, c = 8.516 Å
α = 109.47°, β = 109.47°, γ = 109.47°
Fractional coordinates of all 19 atoms:
Tb: 0.000 0.000 0.000
Dy: 0.127 0.311 0.816
Dy: 0.184 0.495 0.311
Dy: 0.184 0.873 0.689
Dy: 0.311 0.184 0.495
Dy: 0.311 0.816 0.127
Dy: 0.495 0.311 0.184
Dy: 0.505 0.689 0.816
Dy: 0.689 0.184 0.873
Dy: 0.689 0.816 0.505
Dy: 0.816 0.127 0.311
Dy: 0.816 0.505 0.689
Dy: 0.873 0.689 0.184
Ni: 0.124 0.500 0.624
Ni: 0.376 0.876 0.500
Ni: 0.500 0.376 0.876
Ni: 0.500 0.624 0.124
Ni: 0.624 0.124 0.500
Ni: 0.876 0.500 0.376

Properties
**Energy relative to the elements**: -0.24 eV per atom



# 11
Na5Tl6: relaxed, PBE.

a = 7.748 Å, b = 7.748 Å, c = 6.579 Å
α = 99.52°, β = 99.52°, γ = 116.79°
Fractional coordinates of all 11 atoms:
Na: 0.000 0.000 0.000
Na: 0.146 0.854 0.500
Na: 0.268 0.732 0.000
Na: 0.732 0.268 0.000
Na: 0.854 0.146 0.500
Tl: 0.200 0.447 0.313
Tl: 0.328 0.328 0.791
Tl: 0.447 0.200 0.313
Tl: 0.553 0.800 0.687
Tl: 0.672 0.672 0.209
Tl: 0.800 0.553 0.687

Properties
**Energy relative to the elements**: -0.06 eV per atom



# 12
NaTl2Sb2Pb2: relaxed, PBE.

a = 5.164 Å, b = 5.164 Å, c = 13.302 Å
α = 90.00°, β = 90.00°, γ = 120.00°
Fractional coordinates of all 7 atoms:
Na: 0.000 0.000 0.000
Tl: 0.000 0.000 0.235
Tl: 0.000 0.000 0.765
Sb: 0.333 0.667 0.665
Sb: 0.667 0.333 0.335
Pb: 0.333 0.667 0.418
Pb: 0.667 0.333 0.582

Properties
**Uncorrected formation energy**: 76 meV per atom



| no. | uncorrected energy (eV/atom) | calculated density (Mg/m³) | spin magnetization (μB/atom) |
| --- | --- | --- | --- |
| 1 | -11.69 | 17.560 | 0.00 |
| 2 | -1.86 | 7.551 | 0.07 |
| 3 | -4.33 | 6.462 | 0.00 |
| 4 | -4.93 | 9.333 | 0.00 |
| 5 | -7.67 | 5.469 | 0.36 |
| 6 | -6.55 | 8.125 | 0.00 |
| 7 | -6.22 | 9.798 | 0.00 |
| 8 | -5.63 | 3.223 | 0.00 |
| 9 | -4.89 | 6.363 | 0.00 |
| 10 | -5.22 | 8.596 | 0.00 |
| 11 | -1.95 | 6.657 | 0.00 |
| 12 | -3.03 | 5.891 | 0.00 |